An optimized crystal structure of Li3YMn, computed with PBE-GGA.

Cell lengths 4.768, 4.768, 4.768 Å; angles 90.00, 90.00, 90.00 degrees
Sites, in units of the cell vectors:
Li: 0.000 0.000 0.500
Li: 0.000 0.500 0.000
Li: 0.500 0.000 0.000
Y: 0.500 0.500 0.500
Mn: 0.000 0.000 0.000

## Properties
As for the total DFT energy (no corrections): -18.59 eV/cell. As for the magnetization: 2.5 μB/f.u. The calculation puts the formation energy at 269.0 kJ/mol of formula units.